(1)
A plane-wave DFT calculation with PBE-GGA was carried out for a geometry-optimized Sn3BPd structure.

Output
**Relative energy among the computed polymorphs**: 0.000 eV per atom
**Volume**: 21.45 Å³/atom
**Theoretical density**: 7.3 Mg/m³
**Space group**: No. 221
**Crystal system**: cubic
**Energy of formation from the pure elements**: 52.9 kJ/mol of atoms

a = 4.751 Å, b = 4.751 Å, c = 4.751 Å
α = 90.00°, β = 90.00°, γ = 90.00°
Atoms (fractional coordinates):
Sn: 0.000 0.000 0.500
Sn: 0.000 0.500 0.000
Sn: 0.500 0.000 0.000
B: 0.000 0.000 0.000
Pd: 0.500 0.500 0.500

=====

(2)
A plane-wave DFT calculation with PBE-GGA was carried out for a geometry-optimized PrFe2Cl8 structure.

Output
**Volume**: 34.68 Å³/atom
**Theoretical density**: 2.3 Mg/m³
**Space group**: No. 12
**Crystal system**: monoclinic
**Energy relative to the elements, uncorrected**: -1267 meV per atom

a = 7.918 Å, b = 7.918 Å, c = 6.483 Å
α = 94.75°, β = 94.75°, γ = 70.62°
Atoms (fractional coordinates):
Pr: 0.000 0.000 0.000
Fe: 0.195 0.195 0.645
Fe: 0.805 0.805 0.355
Cl: 0.091 0.703 0.239
Cl: 0.176 0.176 0.290
Cl: 0.297 0.909 0.761
Cl: 0.355 0.355 0.773
Cl: 0.645 0.645 0.227
Cl: 0.703 0.091 0.239
Cl: 0.824 0.824 0.710
Cl: 0.909 0.297 0.761

=====

(3)
A plane-wave DFT calculation with PBE-GGA was carried out for a geometry-optimized FeTc2Ag structure.

Output
**Relative energy among the computed polymorphs**: 0.025 eV per atom
**Volume**: 14.94 Å³/atom
**Theoretical density**: 10.0 Mg/m³
**Space group**: No. 35
**Crystal system**: orthorhombic
**Energy of formation from the pure elements**: 33.1 kJ/mol of atoms

a = 2.673 Å, b = 2.673 Å, c = 9.028 Å
α = 90.00°, β = 90.00°, γ = 112.08°
Atoms (fractional coordinates):
Fe: 0.000 0.000 0.000
Tc: 0.000 0.000 0.532
Tc: 0.500 0.500 0.773
Ag: 0.500 0.500 0.255

=====

Q: Which of these has the highest theoretical density?
A: FeTc2Ag